(1)
First-principles (PBE-GGA) data for an optimized crystal structure of Ga5Ag3Cl12, as listed in Alexandria.

Output
Magnetization ... 0.00 μB per formula unit
Crystal system ... cubic
ΔE_f (raw) ... -625.2 meV/atom

abc: 16.5329 16.5329 16.5329
angles: 90.00 90.00 90.00
Closest atoms and distances in Å follow each position.
Space group Ia-3d (No. 230)
Asymmetric unit:
Ga (0.0000, 0.0000, 0.0000)  6 Cl 3.02
Ga (0.0000, 0.2500, 0.3750)  4 Cl 2.28
Ag (0.0000, 0.2500, 0.1250)  8 Cl 3.17-3.24
Cl (0.0390, 0.0665, 0.6654)  1 Ga 2.28

(2)
First-principles (PBE-GGA) data for an optimized crystal structure of Li3YTm2Te6, as listed in Alexandria.

Output
Magnetization ... 0.00 μB per formula unit
Crystal system ... monoclinic
ΔE_f (raw) ... -1283.4 meV/atom

abc: 7.4747 12.9466 7.4793
angles: 90.00 109.47 90.00
Closest atoms and distances in Å follow each position.
Space group C2/m (No. 12)
Asymmetric unit:
Li (0.0000, 0.0000, 0.0000)  6 Te 3.02-3.05
Li (0.0000, 0.3343, 0.0000)  6 Te 3.03-3.05
Y (0.0000, 0.5000, 0.5000)  6 Te 3.09
Tm (0.0000, 0.1668, 0.5000)  6 Te 3.06
Te (0.2472, 0.1682, 0.2466)  3 Li 3.03-3.05, 2 Tm 3.06, 1 Y 3.09
Te (0.2480, 0.0000, 0.7537)  3 Li 3.02-3.04, 2 Tm 3.06, 1 Y 3.09